1.
14
Lattice="5.981 1.242 -0.741 -0.969 6.032 -0.741 0.856 1.242 5.966" Properties=species:S:1:pos:R:3 comment="Nb3V3Tc | Alexandria | PBE | relaxed" total_energy_ev_per_fu=-66.397 pbc="T T T"
Nb 4.473 2.279 3.419
Nb 1.362 1.976 3.345
Nb 0.570 4.053 0.436
Nb 0.537 4.991 3.419
Nb 3.440 4.991 -0.379
Nb 3.585 1.976 0.436
Tc 3.647 5.291 2.787
Tc 0.713 1.034 0.545
V 2.156 6.932 4.364
V 1.807 6.256 1.381
V 4.777 6.932 0.934
V 2.699 3.916 4.658
V 5.710 4.482 4.364
V 5.203 3.916 1.381

=====

2.
9
Lattice="-2.136 3.959 6.920 2.136 -3.959 6.920 2.136 3.959 -6.920" Properties=species:S:1:pos:R:3 comment="RbPb2Au6 | Alexandria | PBE | relaxed" total_energy_ev_per_fu=-28.372 pbc="T T T"
Pb 0.000 0.000 8.798
Pb 0.000 0.000 5.041
Au 0.000 5.361 0.000
Au 0.000 1.501 2.551
Au 0.000 2.557 0.000
Au 2.136 2.458 4.368
Au 2.136 -2.458 4.368
Au 0.000 6.416 2.551
Rb 2.136 0.000 0.000

=====

3.
4
Lattice="-2.364 -2.226 -3.038 -0.981 -3.242 3.139 -4.171 2.576 1.357" Properties=species:S:1:pos:R:3 comment="TbCdHgBi | Alexandria | PBE | relaxed" de_polymorph_ev_per_atom=0.000 pbc="T T T"
Bi -3.267 0.175 -0.840
Tb -2.576 -0.333 2.248
Cd 0.000 0.000 0.000
Hg -1.672 -2.734 0.050

=====

4.
4
Lattice="-1.681 -0.719 3.018 -1.385 -2.270 -1.312 3.190 -4.729 0.649" Properties=species:S:1:pos:R:3 comment="AlTc2P | Alexandria | PBE | relaxed" de_polymorph_ev_per_atom=0.057 pbc="T T T"
Tc 0.809 -3.902 -0.479
Tc 1.898 -6.597 -0.515
P 0.513 -5.609 1.012
Al -0.389 -2.109 1.343

=====

For reference, total magnetization by record: 0.00; 0.00; 0.00; 0.00 μB per formula unit.